This record from Alexandria describes a crystal of Pu2W2C3 relaxed with PBEsol. The functional is SCAN.

Summary:
Energy of formation from the pure elements, meV per atom: 17
Calculated total energy, eV/atom: -55.69
DOS(E_F), states/eV/atom: 2.0371
Calculated volume, A^3/atom: 13.99

Cell and atoms, written as POSCAR:
```
Pu2W2C3
1.0
5.929 -1.603 0.000
5.929 1.603 0.000
-2.187 0.000 5.150
Pu W C
2 2 3
Cartesian
0.573 0.000 1.583
9.097 0.000 3.568
3.718 0.000 0.877
5.952 0.000 4.273
1.312 0.000 3.864
4.835 0.000 2.575
8.358 0.000 1.286
```

***

This record from Alexandria describes a crystal of RbC3 relaxed with PBEsol. The functional is SCAN.

Summary:
Energy of formation from the pure elements, meV per atom: 2128
Calculated total energy, eV/atom: -10.63
DOS(E_F), states/eV/atom: 0.3342
Calculated volume, A^3/atom: 13.98

Cell and atoms, written as POSCAR:
```
RbC3
1.0
3.270 0.000 0.000
-1.635 2.832 0.000
0.000 0.000 6.037
Rb C
1 3
Cartesian
0.000 0.000 0.000
0.000 0.000 3.018
1.635 0.944 2.336
1.635 0.944 3.701
```

***

This record from Alexandria describes a crystal of RbC relaxed with PBEsol. The functional is SCAN.

Summary:
Energy of formation from the pure elements, meV per atom: 919
Calculated total energy, eV/atom: -14.50
Offset from the most stable computed form, meV/atom: 0
DOS(E_F), states/eV/atom: 0.0000
Calculated volume, A^3/atom: 33.66

Cell and atoms, written as POSCAR:
```
RbC
1.0
8.712 -2.037 0.000
8.712 2.037 0.000
-2.067 0.000 5.691
Rb C
3 3
Cartesian
0.000 0.000 0.000
0.618 0.000 3.554
13.904 0.000 1.889
6.859 0.000 3.238
7.485 0.000 2.135
11.343 0.000 0.312
```

***

This record from Alexandria describes a crystal of RbC relaxed with PBEsol. The functional is SCAN.

Summary:
Energy of formation from the pure elements, meV per atom: 2276
Calculated total energy, eV/atom: -13.14
Offset from the most stable computed form, meV/atom: 1358
DOS(E_F), states/eV/atom: 0.0000
Calculated volume, A^3/atom: 73.61

Cell and atoms, written as POSCAR:
```
RbC
1.0
2.536 1.464 13.213
-2.536 1.464 13.213
0.000 -2.929 13.213
Rb C
2 2
Cartesian
0.000 0.000 3.365
0.000 0.000 36.272
0.000 0.000 16.577
0.000 0.000 23.060
```